# Ba2NaCaSi, optimized geometry, DFT PBE-GGA
data_Ba2NaCaSi
_space_group_name_H-M_alt 'P 4/m m m'
_space_group_IT_number 123
_space_group_name_Hall '-P 4 2'
_cell_length_a 6.578
_cell_length_b 6.578
_cell_length_c 5.789
_cell_angle_alpha 90.00
_cell_angle_beta 90.00
_cell_angle_gamma 90.00
loop_
_atom_site_label
_atom_site_type_symbol
_atom_site_fract_x
_atom_site_fract_y
_atom_site_fract_z
Ba1 Ba 0.000 0.500 0.000
Na1 Na 0.000 0.000 0.500
Ca1 Ca 0.500 0.500 0.500
Si1 Si 0.500 0.500 0.000
# formation energy (no corrections)	-9.00	kJ/mol of atoms

---

# Ba2NaSr4Ca, optimized geometry, DFT PBE-GGA
data_Ba2NaSr4Ca
_space_group_name_H-M_alt 'P 1 2/m 1'
_space_group_IT_number 10
_cell_length_a 6.834
_cell_length_b 4.572
_cell_length_c 13.715
_cell_angle_alpha 90.00
_cell_angle_beta 90.43
_cell_angle_gamma 90.00
loop_
_space_group_symop_operation_xyz
'x,y,z'
'-x,-y,-z'
'-x,y,-z'
'x,-y,z'
loop_
_atom_site_label
_atom_site_type_symbol
_atom_site_fract_x
_atom_site_fract_y
_atom_site_fract_z
Ba1 Ba 0.000 0.000 0.000
Ba2 Ba 0.500 0.500 0.500
Na1 Na 0.000 0.000 0.500
Sr1 Sr 0.004 0.500 0.734
Sr2 Sr 0.496 0.000 0.233
Ca1 Ca 0.500 0.500 0.000
# energy of formation from the pure elements	0.021	eV per atom

---

# BaNaSrCa, optimized geometry, DFT PBE-GGA
data_BaNaSrCa
_space_group_name_H-M_alt 'P 4 m m'
_space_group_IT_number 99
_cell_length_a 4.604
_cell_length_b 4.604
_cell_length_c 9.390
_cell_angle_alpha 90.00
_cell_angle_beta 90.00
_cell_angle_gamma 90.00
loop_
_space_group_symop_operation_xyz
'x,y,z'
'-y,x,z'
'-x,-y,z'
'y,-x,z'
'-x,y,z'
'y,x,z'
'x,-y,z'
'-y,-x,z'
loop_
_atom_site_label
_atom_site_type_symbol
_atom_site_fract_x
_atom_site_fract_y
_atom_site_fract_z
Ba1 Ba 0.000 0.000 0.000
Na1 Na 0.500 0.500 0.745
Sr1 Sr 0.000 0.000 0.514
Ca1 Ca 0.500 0.500 0.269
# energy of formation from the pure elements	0.022	eV per atom

---

# Ba3NaSr3Ca2, optimized geometry, DFT PBE-GGA
data_Ba3NaSr3Ca2
_space_group_name_H-M_alt 'P -6 2 m'
_space_group_IT_number 189
_space_group_name_Hall 'P -6 -2'
_cell_length_a 11.4537
_cell_length_b 11.4537
_cell_length_c 4.2495
_cell_angle_alpha 90.00
_cell_angle_beta 90.00
_cell_angle_gamma 120.00
loop_
_atom_site_label
_atom_site_type_symbol
_atom_site_fract_x
_atom_site_fract_y
_atom_site_fract_z
Ba1 Ba 0.0000 0.3712 0.0000
Na1 Na 0.0000 0.0000 0.0000
Sr1 Sr 0.0000 0.7093 0.5000
Ca1 Ca 0.3333 0.6667 0.5000
# energy of formation from the pure elements	0.034	eV per atom

---

# BaNa2Sr6Ca3, optimized geometry, DFT PBE-GGA
data_BaNa2Sr6Ca3
_space_group_name_H-M_alt 'C 1 2/m 1'
_space_group_IT_number 12
_cell_length_a 7.136
_cell_length_b 12.362
_cell_length_c 13.711
_cell_angle_alpha 90.00
_cell_angle_beta 100.08
_cell_angle_gamma 90.00
loop_
_space_group_symop_operation_xyz
'x,y,z'
'-x,-y,-z'
'-x,y,-z'
'x,-y,z'
'x+1/2,y+1/2,z'
'-x+1/2,-y+1/2,-z'
'-x+1/2,y+1/2,-z'
'x+1/2,-y+1/2,z'
loop_
_atom_site_label
_atom_site_type_symbol
_atom_site_fract_x
_atom_site_fract_y
_atom_site_fract_z
Ba1 Ba 0.000 0.000 0.000
Na1 Na 0.000 0.333 0.000
Sr1 Sr 0.246 0.331 0.745
Sr2 Sr 0.248 0.500 0.255
Ca1 Ca 0.000 0.167 0.500
Ca2 Ca 0.000 0.500 0.500
# energy of formation from the pure elements	0.037	eV per atom

---

# Ba3NaSr6Ca2, optimized geometry, DFT PBE-GGA
data_Ba3NaSr6Ca2
_space_group_name_H-M_alt 'C 1 2/m 1'
_space_group_IT_number 12
_cell_length_a 6.611
_cell_length_b 14.767
_cell_length_c 12.995
_cell_angle_alpha 90.00
_cell_angle_beta 90.09
_cell_angle_gamma 90.00
loop_
_space_group_symop_operation_xyz
'x,y,z'
'-x,-y,-z'
'-x,y,-z'
'x,-y,z'
'x+1/2,y+1/2,z'
'-x+1/2,-y+1/2,-z'
'-x+1/2,y+1/2,-z'
'x+1/2,-y+1/2,z'
loop_
_atom_site_label
_atom_site_type_symbol
_atom_site_fract_x
_atom_site_fract_y
_atom_site_fract_z
Ba1 Ba 0.000 0.000 0.000
Ba2 Ba 0.000 0.331 0.000
Na1 Na 0.000 0.000 0.500
Sr1 Sr 0.000 0.166 0.269
Sr2 Sr 0.000 0.500 0.253
Ca1 Ca 0.000 0.342 0.500
# energy of formation from the pure elements	0.030	eV per atom

---

# Ba5Na2Sr2Ca, optimized geometry, DFT PBE-GGA
data_Ba5Na2Sr2Ca
_space_group_name_H-M_alt 'P 4/m b m'
_space_group_IT_number 127
_space_group_name_Hall '-P 4 2ab'
_cell_length_a 14.267
_cell_length_b 14.267
_cell_length_c 5.474
_cell_angle_alpha 90.00
_cell_angle_beta 90.00
_cell_angle_gamma 90.00
loop_
_atom_site_label
_atom_site_type_symbol
_atom_site_fract_x
_atom_site_fract_y
_atom_site_fract_z
Ba1 Ba 0.000 0.500 0.000
Ba2 Ba 0.068 0.200 0.000
Na1 Na 0.126 0.374 0.500
Sr1 Sr 0.174 0.674 0.500
Ca1 Ca 0.000 0.000 0.500
# energy of formation from the pure elements	0.071	eV per atom

---

# Ba3NaSrCa, optimized geometry, DFT PBE-GGA
data_Ba3NaSrCa
_space_group_name_H-M_alt 'C 1 2/m 1'
_space_group_IT_number 12
_cell_length_a 29.723
_cell_length_b 6.652
_cell_length_c 6.683
_cell_angle_alpha 90.00
_cell_angle_beta 102.98
_cell_angle_gamma 90.00
loop_
_space_group_symop_operation_xyz
'x,y,z'
'-x,-y,-z'
'-x,y,-z'
'x,-y,z'
'x+1/2,y+1/2,z'
'-x+1/2,-y+1/2,-z'
'-x+1/2,y+1/2,-z'
'x+1/2,-y+1/2,z'
loop_
_atom_site_label
_atom_site_type_symbol
_atom_site_fract_x
_atom_site_fract_y
_atom_site_fract_z
Ba1 Ba 0.049 0.000 0.299
Ba2 Ba 0.132 0.500 0.382
Ba3 Ba 0.209 0.500 0.959
Na1 Na 0.131 0.000 0.882
Sr1 Sr 0.045 0.500 0.795
Ca1 Ca 0.212 0.000 0.462
# energy of formation from the pure elements	0.054	eV per atom

---

Number 1: spin magnetization 0.00 μB/f.u., calculated density 2.43 g cm⁻³. Number 2: spin magnetization 0.00 μB/f.u., calculated density 2.67 g cm⁻³. Number 3: spin magnetization 0.00 μB/f.u., calculated density 2.40 g cm⁻³. Number 4: spin magnetization 0.00 μB/f.u., calculated density 2.68 g cm⁻³. Number 5: spin magnetization 0.00 μB/f.u., calculated density 2.31 g cm⁻³. Number 6: spin magnetization 0.00 μB/f.u., calculated density 2.72 g cm⁻³. Number 7: spin magnetization 0.00 μB/f.u., calculated density 2.83 g cm⁻³. Number 8: spin magnetization 0.00 μB/f.u., calculated density 2.90 g cm⁻³.